First-principles (PBE with a Hubbard U) data for a relaxed SiWIO2 crystal, as listed in Alexandria via LeMat-Bulk.

Total moment = 4.52 μB/f.u.
Energy above the most stable polymorph in this dataset = 0.472 eV per atom
Space-group type = No. 123
Calculated volume = 17.29 Å³/atom
Energy = -4.794 eV per atom

Cell: 3.813 3.813 5.947 Å, 90.00 90.00 90.00°
Positions (direct):
I 0.000 0.000 0.500
Si 0.000 0.000 0.000
O 0.000 0.500 0.000
W 0.500 0.500 0.500
O 0.500 0.000 0.000